(1)
The following is a PBE calculation of YThGaPt after structural relaxation, from the Alexandria database.

Unit cell a=7.2386 b=7.2386 c=7.2386 alpha=90.00 beta=90.00 gamma=90.00
Space group F-43m (No. 216)
Inequivalent atoms, fractional coordinates:
Y 0.0000 0.0000 0.0000
Th 0.0000 0.0000 0.5000
Ga 0.2500 0.2500 0.2500
Pt 0.2500 0.2500 0.7500

Properties
- formation energy (meV per atom) = -735
- Fermi-level density of states (states/eV per atom) = 0.916

---

(2)
The following is a PBE calculation of ThZnGa2Pt5 after structural relaxation, from the Alexandria database.

Unit cell a=4.1792 b=4.1792 c=9.5492 alpha=90.00 beta=90.00 gamma=90.00
Space group P4/mmm (No. 123)
Inequivalent atoms, fractional coordinates:
Th 0.0000 0.0000 0.0000
Zn 0.0000 0.0000 0.5000
Ga 0.5000 0.5000 0.3747
Pt 0.0000 0.5000 0.2254
Pt 0.5000 0.5000 0.0000

Properties
- formation energy (meV per atom) = -622
- Fermi-level density of states (states/eV per atom) = 0.305

---

(3)
The following is a PBE calculation of Th2ZnGa4Pt3 after structural relaxation, from the Alexandria database.

Unit cell a=4.2974 b=4.2974 c=10.4866 alpha=90.00 beta=90.00 gamma=90.00
Space group P-4m2 (No. 115)
Inequivalent atoms, fractional coordinates:
Th 0.0000 0.5000 0.2492
Zn 0.0000 0.0000 0.5000
Ga 0.0000 0.0000 0.0000
Ga 0.0000 0.5000 0.6329
Ga 0.5000 0.5000 0.0000
Pt 0.0000 0.5000 0.8677
Pt 0.5000 0.5000 0.5000

Properties
- formation energy (meV per atom) = -860
- Fermi-level density of states (states/eV per atom) = 0.601

---

(4)
The following is a PBE calculation of ThZnGaPt2 after structural relaxation, from the Alexandria database.

Unit cell a=3.9838 b=3.9838 c=12.3271 alpha=90.00 beta=90.00 gamma=90.00
Space group I-4m2 (No. 119)
Inequivalent atoms, fractional coordinates:
Th 0.0000 0.0000 0.0000
Zn 0.0000 0.5000 0.7500
Ga 0.0000 0.5000 0.2500
Pt 0.0000 0.0000 0.3904

Properties
- formation energy (meV per atom) = -878
- Fermi-level density of states (states/eV per atom) = 0.542

---

(5)
The following is a PBE calculation of ThZnGaPt after structural relaxation, from the Alexandria database.

Unit cell a=6.8707 b=6.8707 c=6.8707 alpha=90.00 beta=90.00 gamma=90.00
Space group F-43m (No. 216)
Inequivalent atoms, fractional coordinates:
Th 0.0000 0.0000 0.0000
Zn 0.2500 0.2500 0.2500
Ga 0.0000 0.0000 0.5000
Pt 0.2500 0.2500 0.7500

Properties
- formation energy (meV per atom) = -626
- Fermi-level density of states (states/eV per atom) = 0.411

---

(6)
The following is a PBE calculation of Th2ZnGaPt6 after structural relaxation, from the Alexandria database.

Unit cell a=9.8832 b=5.7078 c=8.4240 alpha=90.00 beta=113.06 gamma=90.00
Space group C2/m (No. 12)
Inequivalent atoms, fractional coordinates:
Th 0.2094 0.0000 0.1270
Zn 0.0000 0.0000 0.5000
Ga 0.0000 0.5000 0.0000
Pt 0.0031 0.2468 0.7577
Pt 0.2501 0.0000 0.7585

Properties
- formation energy (meV per atom) = -790
- Fermi-level density of states (states/eV per atom) = 0.475

---

(7)
The following is a PBE calculation of ThZnGa2Pt2 after structural relaxation, from the Alexandria database.

Unit cell a=4.4107 b=4.4107 c=6.6844 alpha=90.00 beta=90.00 gamma=120.00
Space group P-3m1 (No. 164)
Inequivalent atoms, fractional coordinates:
Th 0.0000 0.0000 0.0000
Zn 0.0000 0.0000 0.5000
Ga 0.3333 0.6667 0.6903
Pt 0.3333 0.6667 0.2784

Properties
- formation energy (meV per atom) = -780
- Fermi-level density of states (states/eV per atom) = 0.647

---

(8)
The following is a PBE calculation of ThZnGa3Pt after structural relaxation, from the Alexandria database.

Unit cell a=6.6172 b=13.0941 c=5.6116 alpha=90.00 beta=90.00 gamma=90.00
Space group Cmcm (No. 63)
Inequivalent atoms, fractional coordinates:
Th 0.0000 0.2092 0.2500
Zn 0.0000 0.4312 0.2500
Ga 0.0000 0.3591 0.7500
Ga 0.1917 0.0000 0.0000
Pt 0.0000 0.1642 0.7500

Properties
- formation energy (meV per atom) = -272
- Fermi-level density of states (states/eV per atom) = 0.559

---

(9)
The following is a PBE calculation of ThZrGa5Pt2 after structural relaxation, from the Alexandria database.

Unit cell a=4.1711 b=4.1711 c=11.5702 alpha=90.00 beta=90.00 gamma=90.00
Space group P4/mmm (No. 123)
Inequivalent atoms, fractional coordinates:
Th 0.0000 0.0000 0.0000
Zr 0.0000 0.0000 0.5000
Ga 0.0000 0.5000 0.3285
Ga 0.5000 0.5000 0.0000
Pt 0.5000 0.5000 0.2040

Properties
- formation energy (meV per atom) = -258
- Fermi-level density of states (states/eV per atom) = 0.557

---

(10)
The following is a PBE calculation of TiGa2Pt2 after structural relaxation, from the Alexandria database.

Unit cell a=7.5211 b=7.5211 c=2.7900 alpha=90.00 beta=90.00 gamma=90.00
Space group P4/mbm (No. 127)
Inequivalent atoms, fractional coordinates:
Ti 0.0000 0.0000 0.0000
Ga 0.1327 0.3673 0.0000
Pt 0.1666 0.6666 0.5000

Properties
- energy relative to the lowest polymorph listed for this composition (kJ per mole of atoms) = 17.2
- formation energy (meV per atom) = -549
- Fermi-level density of states (states/eV per atom) = 0.624

---

(11)
The following is a PBE calculation of Ti2GaPt2 after structural relaxation, from the Alexandria database.

Unit cell a=7.2873 b=7.2873 c=3.1267 alpha=90.00 beta=90.00 gamma=90.00
Space group P4/mbm (No. 127)
Inequivalent atoms, fractional coordinates:
Ti 0.1681 0.3319 0.0000
Ga 0.0000 0.0000 0.5000
Pt 0.1327 0.6327 0.5000

Properties
- formation energy (meV per atom) = -774
- Fermi-level density of states (states/eV per atom) = 0.745

---

(12)
The following is a PBE calculation of TiGaPt after structural relaxation, from the Alexandria database.

Unit cell a=4.4316 b=4.4316 c=5.4464 alpha=90.00 beta=90.00 gamma=120.00
Space group P6_3/mmc (No. 194)
Inequivalent atoms, fractional coordinates:
Ti 0.0000 0.0000 0.0000
Ga 0.3333 0.6667 0.2500
Pt 0.3333 0.6667 0.7500

Properties
- formation energy (meV per atom) = -840
- Fermi-level density of states (states/eV per atom) = 0.324

---

(13)
The following is a PBE calculation of Ti7Ga5Pt after structural relaxation, from the Alexandria database.

Unit cell a=5.2140 b=8.9782 c=9.2813 alpha=90.00 beta=90.00 gamma=90.00
Space group Imm2 (No. 44)
Inequivalent atoms, fractional coordinates:
Ti 0.0000 0.0000 0.0000
Ti 0.0000 0.0000 0.2781
Ti 0.0000 0.3312 0.1237
Ti 0.0000 0.3441 0.6251
Ti 0.0000 0.5000 0.3625
Ga 0.0000 0.5000 0.8791
Ga 0.2489 0.2465 0.8741
Pt 0.0000 0.0000 0.7177

Properties
- formation energy (meV per atom) = -295
- Fermi-level density of states (states/eV per atom) = 0.976

---

(14)
The following is a PBE calculation of TiGa2Pt2 after structural relaxation, from the Alexandria database.

Unit cell a=4.2761 b=4.3064 c=9.2993 alpha=90.00 beta=90.00 gamma=90.00
Space group Pmmn (No. 59, origin choice 2)
Inequivalent atoms, fractional coordinates:
Ti 0.2500 0.2500 0.1845
Ga 0.2500 0.2500 0.5018
Ga 0.2500 0.2500 0.8197
Pt 0.2500 0.7500 0.3387
Pt 0.2500 0.7500 0.9758

Properties
- energy relative to the lowest polymorph listed for this composition (kJ per mole of atoms) = 0.0
- formation energy (meV per atom) = -728
- Fermi-level density of states (states/eV per atom) = 0.505

---

(15)
The following is a PBE calculation of Ti6GaPt2 after structural relaxation, from the Alexandria database.

Unit cell a=4.2658 b=6.1406 c=12.9917 alpha=90.00 beta=90.00 gamma=90.00
Space group Immm (No. 71)
Inequivalent atoms, fractional coordinates:
Ti 0.0000 0.2469 0.0000
Ti 0.0000 0.2485 0.3336
Ga 0.0000 0.0000 0.5000
Pt 0.0000 0.0000 0.1664

Properties
- formation energy (meV per atom) = -285
- Fermi-level density of states (states/eV per atom) = 1.094

---

(16)
The following is a PBE calculation of TiGaPt2 after structural relaxation, from the Alexandria database.

Unit cell a=5.7268 b=5.7268 c=11.0737 alpha=90.00 beta=90.00 gamma=90.00
Space group I-42d (No. 122)
Inequivalent atoms, fractional coordinates:
Ti 0.0000 0.0000 0.0000
Ga 0.0000 0.0000 0.5000
Pt 0.2484 0.2500 0.6250

Properties
- formation energy (meV per atom) = -205
- Fermi-level density of states (states/eV per atom) = 0.510

---

(17)
The following is a PBE calculation of Ti6Ga12Pt after structural relaxation, from the Alexandria database.

Unit cell a=10.1476 b=10.1476 c=10.5504 alpha=90.00 beta=90.00 gamma=120.00
Space group R-3 (No. 148, hexagonal axes)
Inequivalent atoms, fractional coordinates:
Ti 0.0085 0.4291 0.2343
Ga 0.0557 0.2017 0.3321
Ga 0.0578 0.8685 0.8833
Pt 0.0000 0.0000 0.5000

Properties
- formation energy (meV per atom) = -361
- Fermi-level density of states (states/eV per atom) = 0.777

---

(18)
The following is a PBE calculation of Ti8Ga6Pt after structural relaxation, from the Alexandria database.

Unit cell a=7.5106 b=7.5106 c=16.2413 alpha=90.00 beta=90.00 gamma=120.00
Space group R-3 (No. 148, hexagonal axes)
Inequivalent atoms, fractional coordinates:
Ti 0.0000 0.0000 0.1647
Ti 0.0034 0.6738 0.9468
Ga 0.0040 0.6787 0.4424
Pt 0.0000 0.0000 0.5000

Properties
- formation energy (meV per atom) = -173
- Fermi-level density of states (states/eV per atom) = 1.218

---

(19)
The following is a PBE calculation of Ti2GaPt2 after structural relaxation, from the Alexandria database.

Unit cell a=7.6833 b=7.6833 c=2.8671 alpha=90.00 beta=90.00 gamma=90.00
Space group P4/mbm (No. 127)
Inequivalent atoms, fractional coordinates:
Ti 0.1620 0.3380 0.0000
Ga 0.0000 0.0000 0.0000
Pt 0.1326 0.6326 0.5000

Properties
- formation energy (meV per atom) = -636
- Fermi-level density of states (states/eV per atom) = 0.990

---

(20)
The following is a PBE calculation of Ti6Ga16Pt7 after structural relaxation, from the Alexandria database.

Unit cell a=12.3513 b=12.3513 c=12.3513 alpha=90.00 beta=90.00 gamma=90.00
Space group Fm-3m (No. 225)
Inequivalent atoms, fractional coordinates:
Ti 0.0000 0.0000 0.1744
Ga 0.1215 0.1215 0.3785
Ga 0.1544 0.1544 0.1544
Pt 0.0000 0.0000 0.5000
Pt 0.0000 0.2500 0.2500

Properties
- formation energy (meV per atom) = -548
- Fermi-level density of states (states/eV per atom) = 0.382